*w*
! PBE Cd2IrRu, optimized geometry; values from VASP
! magnetic moment	0.31	μB per formula unit
&SYSTEM
  ibrav = 0, nat = 4, ntyp = 3
/
ATOMIC_SPECIES
Cd 112.41 Cd.upf
Ir 192.22 Ir.upf
Ru 101.07 Ru.upf
CELL_PARAMETERS angstrom
4.970 0.009 0.008
4.124 2.773 0.008
0.897 0.274 4.956
ATOMIC_POSITIONS angstrom
Cd 0.065 0.020 0.002
Cd 2.432 0.744 1.241
Ir 4.911 1.502 2.616
Ru 7.578 2.318 3.601

***

*x*
! PBE Cd2IrRu, optimized geometry; values from VASP
! magnetic moment	2.24	μB per formula unit
&SYSTEM
  ibrav = 0, nat = 4, ntyp = 3
/
ATOMIC_SPECIES
Cd 112.41 Cd.upf
Ir 192.22 Ir.upf
Ru 101.07 Ru.upf
CELL_PARAMETERS angstrom
4.597 0.000 0.000
2.299 3.981 0.000
2.299 1.327 3.753
ATOMIC_POSITIONS angstrom
Cd 0.000 0.000 0.000
Cd 2.299 1.327 0.938
Ir 4.597 2.654 1.877
Ru 6.896 3.981 2.815

***

*y*
! PBE Cd2IrRu, optimized geometry; values from VASP
! magnetic moment	0.79	μB per formula unit
&SYSTEM
  ibrav = 0, nat = 4, ntyp = 3
/
ATOMIC_SPECIES
Cd 112.41 Cd.upf
Ir 192.22 Ir.upf
Ru 101.07 Ru.upf
CELL_PARAMETERS angstrom
9.466 0.007 0.004
9.023 2.862 0.004
9.023 1.400 2.497
ATOMIC_POSITIONS angstrom
Cd 27.511 4.270 2.505
Cd 13.759 2.135 1.253
Ir 6.878 1.067 0.626
Ru 20.635 3.202 1.879

***

*z*
! PBE Cd2IrRu, optimized geometry; values from VASP
! magnetic moment	0.67	μB per formula unit
&SYSTEM
  ibrav = 0, nat = 4, ntyp = 3
/
ATOMIC_SPECIES
Cd 112.41 Cd.upf
Ir 192.22 Ir.upf
Ru 101.07 Ru.upf
CELL_PARAMETERS angstrom
-0.991 -0.243 -4.636
-2.136 -1.781 0.550
-3.363 3.726 0.523
ATOMIC_POSITIONS angstrom
Cd -3.377 3.712 0.527
Cd -2.736 0.987 0.533
Ir -1.870 0.365 -2.049
Ru -4.620 1.337 -1.513

***

*w* is favored, and the nearest alternative lies 0.062 eV/atom above it.

***

*w*
! PBE Cd2IrRu, optimized geometry; values from VASP
! magnetic moment	0.75	μB per formula unit
&SYSTEM
  ibrav = 0, nat = 4, ntyp = 3
/
ATOMIC_SPECIES
Cd 112.41 Cd.upf
Ir 192.22 Ir.upf
Ru 101.07 Ru.upf
CELL_PARAMETERS angstrom
4.870 -0.013 0.000
1.290 4.696 0.000
-3.080 -2.341 2.958
ATOMIC_POSITIONS angstrom
Cd 0.000 0.000 0.000
Cd 0.645 2.348 1.479
Ir 3.080 2.341 0.000
Ru 2.435 -0.007 1.479

***

*x*
! PBE Cd2IrRu, optimized geometry; values from VASP
! magnetic moment	1.45	μB per formula unit
&SYSTEM
  ibrav = 0, nat = 4, ntyp = 3
/
ATOMIC_SPECIES
Cd 112.41 Cd.upf
Ir 192.22 Ir.upf
Ru 101.07 Ru.upf
CELL_PARAMETERS angstrom
4.646 0.000 0.000
0.000 4.646 0.000
0.000 0.000 3.158
ATOMIC_POSITIONS angstrom
Cd 0.000 0.000 0.000
Cd 2.323 2.323 0.000
Ir 2.323 0.000 1.579
Ru 0.000 2.323 1.579

***

*w* is favored, and the nearest alternative lies 0.078 eV/atom above it.

***

*w*
! PBE Ta2CdSbIr, optimized geometry; values from VASP
! magnetic moment	0.00	μB per formula unit
&SYSTEM
  ibrav = 0, nat = 5, ntyp = 4
/
ATOMIC_SPECIES
Sb 121.76 Sb.upf
Ir 192.22 Ir.upf
Cd 112.41 Cd.upf
Ta 180.95 Ta.upf
CELL_PARAMETERS angstrom
-1.051 -3.550 3.432
4.906 -0.355 1.134
-0.534 3.429 3.384
ATOMIC_POSITIONS angstrom
Sb 0.000 0.000 0.000
Ir -0.267 1.715 1.692
Cd 1.661 -0.238 3.975
Ta 2.453 -0.178 0.567
Ta -0.525 -1.775 1.716

***

*x*
! PBE Ta2CdSbIr, optimized geometry; values from VASP
! magnetic moment	0.00	μB per formula unit
&SYSTEM
  ibrav = 0, nat = 5, ntyp = 4
/
ATOMIC_SPECIES
Sb 121.76 Sb.upf
Ir 192.22 Ir.upf
Cd 112.41 Cd.upf
Ta 180.95 Ta.upf
CELL_PARAMETERS angstrom
4.907 0.000 0.000
0.000 5.075 0.000
0.000 0.000 4.907
ATOMIC_POSITIONS angstrom
Sb 2.453 2.537 2.453
Ir 0.000 0.000 0.000
Cd 0.000 2.537 0.000
Ta 0.000 0.000 2.453
Ta 2.453 0.000 0.000

***

*x* is favored, and the nearest alternative lies 0.813 eV/atom above it.

***

*w*
! PBE Sc4CdIr, optimized geometry; values from VASP
! magnetic moment	0.00	μB per formula unit
&SYSTEM
  ibrav = 0, nat = 6, ntyp = 3
/
ATOMIC_SPECIES
Sc 44.96 Sc.upf
Cd 112.41 Cd.upf
Ir 192.22 Ir.upf
CELL_PARAMETERS angstrom
-3.629 -2.219 3.586
-5.379 1.392 -0.267
-3.749 -3.709 -1.773
ATOMIC_POSITIONS angstrom
Sc -6.602 -2.819 2.399
Sc -6.663 -3.576 -0.324
Sc -7.491 -0.984 0.441
Sc -4.758 -1.692 0.577
Cd -9.567 -3.402 1.160
Ir 0.000 0.000 0.000

***

*x*
! PBE Sc4CdIr, optimized geometry; values from VASP
! magnetic moment	0.00	μB per formula unit
&SYSTEM
  ibrav = 0, nat = 24, ntyp = 3
/
ATOMIC_SPECIES
Sc 44.96 Sc.upf
Cd 112.41 Cd.upf
Ir 192.22 Ir.upf
CELL_PARAMETERS angstrom
0.802 8.496 2.965
2.988 1.598 8.375
8.194 3.589 1.265
ATOMIC_POSITIONS angstrom
Sc 4.771 5.447 5.018
Sc 5.098 8.910 6.226
Sc 5.988 6.099 8.431
Sc 8.110 6.910 5.533
Sc 9.824 9.027 7.540
Sc 8.151 11.498 11.367
Sc 7.847 8.271 10.240
Sc 10.129 12.253 8.666
Sc 7.016 10.891 8.186
Sc 10.959 9.634 10.721
Sc 7.366 4.812 3.159
Sc 4.618 8.871 9.446
Sc 4.117 3.570 7.595
Sc 7.866 10.113 5.009
Sc 2.753 7.874 4.220
Sc 9.230 5.809 8.385
Cd 1.998 2.282 2.102
Cd 2.265 5.111 3.089
Cd 2.993 2.814 4.891
Cd 4.727 3.477 2.523
Ir 7.283 8.316 7.660
Ir 6.937 4.654 6.382
Ir 5.995 7.627 4.051
Ir 3.752 6.769 7.115

***

*y*
! PBE Sc4CdIr, optimized geometry; values from VASP
! magnetic moment	0.00	μB per formula unit
&SYSTEM
  ibrav = 0, nat = 6, ntyp = 3
/
ATOMIC_SPECIES
Sc 44.96 Sc.upf
Cd 112.41 Cd.upf
Ir 192.22 Ir.upf
CELL_PARAMETERS angstrom
-3.564 2.447 1.770
-1.312 -0.667 4.445
3.249 6.060 4.329
ATOMIC_POSITIONS angstrom
Sc -2.773 1.722 4.366
Sc 1.146 6.118 6.178
Sc 1.580 4.192 3.552
Sc -3.207 3.648 6.992
Cd -0.814 3.920 5.272
Ir 0.000 0.000 0.000

***

*x* is favored, and the nearest alternative lies 0.220 eV/atom above it.

***

*w*
! PBE Sc3CdIr, optimized geometry; values from VASP
! magnetic moment	0.00	μB per formula unit
&SYSTEM
  ibrav = 0, nat = 5, ntyp = 3
/
ATOMIC_SPECIES
Sc 44.96 Sc.upf
Ir 192.22 Ir.upf
Cd 112.41 Cd.upf
CELL_PARAMETERS angstrom
5.052 0.000 0.000
0.000 5.052 0.000
0.000 0.000 5.052
ATOMIC_POSITIONS angstrom
Sc 0.000 2.526 0.000
Sc 0.000 0.000 2.526
Sc 2.526 0.000 0.000
Ir 0.000 0.000 0.000
Cd 2.526 2.526 2.526

***

*x*
! PBE Sc3CdIr, optimized geometry; values from VASP
! magnetic moment	0.00	μB per formula unit
&SYSTEM
  ibrav = 0, nat = 5, ntyp = 3
/
ATOMIC_SPECIES
Sc 44.96 Sc.upf
Ir 192.22 Ir.upf
Cd 112.41 Cd.upf
CELL_PARAMETERS angstrom
5.086 0.000 0.000
0.000 5.086 0.000
0.000 0.000 5.086
ATOMIC_POSITIONS angstrom
Sc 0.000 2.543 0.000
Sc 0.000 0.000 2.543
Sc 2.543 0.000 0.000
Ir 2.543 2.543 2.543
Cd 0.000 0.000 0.000

***

*w* is favored, and the nearest alternative lies 1.190 eV/atom above it.

***

*w*
! PBE ScCdIr3, optimized geometry; values from VASP
! magnetic moment	0.00	μB per formula unit
&SYSTEM
  ibrav = 0, nat = 5, ntyp = 3
/
ATOMIC_SPECIES
Sc 44.96 Sc.upf
Ir 192.22 Ir.upf
Cd 112.41 Cd.upf
CELL_PARAMETERS angstrom
-1.309 3.651 2.677
-0.854 -2.936 3.586
4.446 0.511 1.477
ATOMIC_POSITIONS angstrom
Sc 0.000 0.000 0.000
Ir -0.427 -1.468 1.793
Ir 2.223 0.255 0.739
Ir -0.654 1.826 1.338
Cd 1.142 0.613 3.870

***

*x*
! PBE ScCdIr3, optimized geometry; values from VASP
! magnetic moment	0.00	μB per formula unit
&SYSTEM
  ibrav = 0, nat = 5, ntyp = 3
/
ATOMIC_SPECIES
Sc 44.96 Sc.upf
Ir 192.22 Ir.upf
Cd 112.41 Cd.upf
CELL_PARAMETERS angstrom
-1.132 -2.446 3.986
4.537 0.420 1.547
-1.134 4.122 2.208
ATOMIC_POSITIONS angstrom
Sc 1.135 1.048 3.870
Ir 2.269 0.210 0.773
Ir -0.567 2.061 1.104
Ir -0.566 -1.223 1.993
Cd 0.000 0.000 0.000

***

*w* is favored, and the nearest alternative lies 0.309 eV/atom above it.

***

*w*
! PBE Sc2Cd2Ir, optimized geometry; values from VASP
! magnetic moment	0.00	μB per formula unit
&SYSTEM
  ibrav = 0, nat = 10, ntyp = 3
/
ATOMIC_SPECIES
Sc 44.96 Sc.upf
Ir 192.22 Ir.upf
Cd 112.41 Cd.upf
CELL_PARAMETERS angstrom
-3.698 1.292 6.039
5.983 -0.994 3.876
0.843 3.862 -0.310
ATOMIC_POSITIONS angstrom
Sc 3.818 1.487 3.538
Sc 2.842 1.988 7.123
Sc -0.689 2.673 6.067
Sc 0.286 2.172 2.482
Ir 0.000 0.000 0.000
Ir 1.143 0.149 4.958
Cd 3.830 -0.388 5.577
Cd 0.581 0.491 7.690
Cd -1.545 0.686 4.338
Cd 1.704 -0.193 2.226

***

*x*
! PBE Sc2Cd2Ir, optimized geometry; values from VASP
! magnetic moment	0.00	μB per formula unit
&SYSTEM
  ibrav = 0, nat = 5, ntyp = 3
/
ATOMIC_SPECIES
Sc 44.96 Sc.upf
Cd 112.41 Cd.upf
Ir 192.22 Ir.upf
CELL_PARAMETERS angstrom
3.123 0.000 -0.501
-0.080 3.122 -0.501
0.040 0.041 10.229
ATOMIC_POSITIONS angstrom
Sc 1.783 1.830 1.132
Sc 1.299 1.333 8.094
Cd 2.469 2.533 5.405
Cd 0.613 0.629 3.822
Ir 0.000 0.000 0.000

***

*x* is favored, and the nearest alternative lies 0.483 eV/atom above it.

***

*w*
! PBE ScCd3Ir, optimized geometry; values from VASP
! magnetic moment	0.00	μB per formula unit
&SYSTEM
  ibrav = 0, nat = 5, ntyp = 3
/
ATOMIC_SPECIES
Sc 44.96 Sc.upf
Ir 192.22 Ir.upf
Cd 112.41 Cd.upf
CELL_PARAMETERS angstrom
-2.788 2.829 3.481
-0.367 -4.229 3.143
4.470 1.417 2.429
ATOMIC_POSITIONS angstrom
Sc 0.000 0.000 0.000
Ir 0.657 0.009 4.526
Cd -0.184 -2.114 1.571
Cd 2.235 0.709 1.215
Cd -1.394 1.415 1.740

***

*x*
! PBE ScCd3Ir, optimized geometry; values from VASP
! magnetic moment	0.81	μB per formula unit
&SYSTEM
  ibrav = 0, nat = 5, ntyp = 3
/
ATOMIC_SPECIES
Sc 44.96 Sc.upf
Ir 192.22 Ir.upf
Cd 112.41 Cd.upf
CELL_PARAMETERS angstrom
-3.521 -0.949 3.585
-0.854 -4.603 -2.057
3.608 -2.015 3.011
ATOMIC_POSITIONS angstrom
Sc -0.383 -3.783 2.269
Ir 0.000 0.000 0.000
Cd -0.427 -2.301 -1.029
Cd 1.804 -1.007 1.505
Cd -1.760 -0.475 1.792

***

*x* is favored, and the nearest alternative lies 1.175 eV/atom above it.